No. 1
Here is an optimized crystal structure of BOsSeBr2 from Alexandria via LeMat-Bulk. Energies are from GGA-PBEsol.

POSCAR file:
```
BOsSeBr2
1.0
5.154 0.000 0.000
0.000 5.154 0.000
0.000 0.000 4.581
B Os Se Br
1 1 1 2
direct
0.000 0.000 0.000
0.500 0.500 0.500
0.500 0.500 0.000
0.000 0.500 0.500
0.500 0.000 0.500
```

## Properties
The calculation puts the volume at 122 Å³/cell. The symmetry is P4/mmm. The formation energy without anion corrections is 6.61 eV/f.u. As for the total energy: -4.04 eV per atom.



No. 2
Here is an optimized crystal structure of MgTl from Alexandria via LeMat-Bulk. Energies are from GGA-PBEsol.

POSCAR file:
```
MgTl
1.0
11.409 0.000 0.000
0.000 3.462 0.000
-1.661 0.000 4.860
Mg Tl
4 4
direct
0.125 0.000 0.308
0.375 0.500 0.692
0.625 0.500 0.308
0.875 0.000 0.692
0.122 0.500 0.808
0.378 0.000 0.192
0.622 0.000 0.808
0.878 0.500 0.192
```

## Properties
The calculation puts the volume at 192 Å³/cell. The energy relative to the elements is -0.07 eV per atom. The symmetry is C2/m. As for the total energy: -2.24 eV per atom.



No. 3
Here is an optimized crystal structure of KBa2Cl from Alexandria via LeMat-Bulk. Energies are from GGA-PBEsol.

POSCAR file:
```
KBa2Cl
1.0
5.380 0.000 0.000
0.000 5.380 0.000
0.000 0.000 6.505
K Ba Cl
1 2 1
direct
0.000 0.000 0.000
0.000 0.500 0.500
0.500 0.000 0.500
0.500 0.500 0.000
```

## Properties
The calculation puts the volume at 188 Å³/cell. The symmetry is P4/mmm. The formation energy without anion corrections is -1.47 eV/f.u. As for the total energy: -2.23 eV per atom.



No. 4
Here is an optimized crystal structure of AgSnOF2 from Alexandria via LeMat-Bulk. Energies are from GGA-PBEsol.

POSCAR file:
```
AgSnOF2
1.0
4.260 0.000 0.000
0.000 4.260 0.000
0.000 0.000 4.117
Ag Sn O F
1 1 1 2
direct
0.000 0.000 0.000
0.500 0.500 0.500
0.000 0.000 0.500
0.000 0.500 0.000
0.500 0.000 0.000
```

## Properties
The calculation puts the volume at 75 Å³/cell. The symmetry is P4/mmm. The formation energy without anion corrections is -4.49 eV/f.u. As for the total energy: -4.23 eV per atom.



No. 5
Here is an optimized crystal structure of HfSnSe3 from Alexandria via LeMat-Bulk. Energies are from GGA-PBEsol.

POSCAR file:
```
HfSnSe3
1.0
5.108 0.000 0.000
0.000 5.108 0.000
0.000 0.000 5.108
Hf Sn Se
1 1 3
direct
0.000 0.000 0.000
0.500 0.500 0.500
0.000 0.000 0.500
0.000 0.500 0.000
0.500 0.000 0.000
```

## Properties
The calculation puts the volume at 133 Å³/cell. The symmetry is Pm-3m. The formation energy without anion corrections is -2.80 eV/f.u. As for the total energy: -5.82 eV per atom.



No. 6
Here is an optimized crystal structure of CrPIr3 from Alexandria via LeMat-Bulk. Energies are from GGA-PBEsol.

POSCAR file:
```
CrPIr3
1.0
4.340 0.000 0.000
0.000 4.340 0.000
0.000 0.000 4.340
Cr P Ir
1 1 3
direct
0.000 0.000 0.000
0.500 0.500 0.500
0.000 0.500 0.500
0.500 0.000 0.500
0.500 0.500 0.000
```

## Properties
The calculation puts the volume at 82 Å³/cell. The energy relative to the elements is 0.70 eV per atom. The symmetry is Pm-3m. For the relative energy among the computed polymorphs, the calculation gives 0.0000 eV per atom. As for the total energy: -8.40 eV per atom.



No. 7
Here is an optimized crystal structure of Mg2ScNi from Alexandria via LeMat-Bulk. Energies are from GGA-PBEsol.

POSCAR file:
```
Mg2ScNi
1.0
3.329 0.000 0.000
0.000 4.844 0.000
0.000 0.000 9.121
Mg Sc Ni
4 2 2
direct
0.000 0.000 0.000
0.000 0.500 0.215
0.500 0.000 0.715
0.500 0.500 0.500
0.000 0.000 0.421
0.500 0.500 0.921
0.000 0.500 0.719
0.500 0.000 0.219
```

## Properties
The calculation puts the volume at 147 Å³/cell. The energy relative to the elements is -0.07 eV per atom. The symmetry is Imm2. As for the total energy: -4.12 eV per atom.



No. 8
Here is an optimized crystal structure of CdTe2C from Alexandria via LeMat-Bulk. Energies are from GGA-PBEsol.

POSCAR file:
```
CdTe2C
1.0
6.903 0.000 0.000
0.000 6.903 0.000
0.000 0.000 6.903
Cd Te C
4 8 4
direct
0.000 0.000 0.000
0.000 0.500 0.500
0.500 0.000 0.500
0.500 0.500 0.000
0.250 0.250 0.250
0.250 0.250 0.750
0.250 0.750 0.250
0.250 0.750 0.750
0.750 0.250 0.250
0.750 0.250 0.750
0.750 0.750 0.250
0.750 0.750 0.750
0.000 0.000 0.500
0.000 0.500 0.000
0.500 0.000 0.000
0.500 0.500 0.500
```

## Properties
The calculation puts the volume at 329 Å³/cell. The symmetry is Fm-3m. The formation energy without anion corrections is 5.89 eV/f.u. For the relative energy among the computed polymorphs, the calculation gives 0.4958 eV per atom. As for the total energy: -3.00 eV per atom.



No. 9
Here is an optimized crystal structure of CaMg2Hg from Alexandria via LeMat-Bulk. Energies are from GGA-PBEsol.

POSCAR file:
```
CaMg2Hg
1.0
4.468 0.000 0.000
0.000 4.468 0.000
0.000 0.000 4.876
Ca Mg Hg
1 2 1
direct
0.000 0.000 0.000
0.000 0.500 0.500
0.500 0.000 0.500
0.500 0.500 0.000
```

## Properties
The calculation puts the volume at 97 Å³/cell. The energy relative to the elements is -0.25 eV per atom. The symmetry is P4/mmm. As for the total energy: -1.78 eV per atom.



No. 10
Here is an optimized crystal structure of MnCr2Rh from Alexandria via LeMat-Bulk. Energies are from GGA-PBEsol.

POSCAR file:
```
MnCr2Rh
1.0
2.754 0.000 0.000
0.000 2.754 0.000
0.000 0.000 6.161
Mn Cr Rh
1 2 1
direct
0.000 0.000 0.000
0.000 0.000 0.559
0.500 0.500 0.805
0.500 0.500 0.296
```

## Properties
The calculation puts the volume at 47 Å³/cell. The energy relative to the elements is 0.10 eV per atom. The symmetry is P4mm. For the relative energy among the computed polymorphs, the calculation gives 0.0000 eV per atom. As for the total energy: -9.49 eV per atom.



No. 11
Here is an optimized crystal structure of Rb3InRe from Alexandria via LeMat-Bulk. Energies are from GGA-PBEsol.

POSCAR file:
```
Rb3InRe
1.0
6.420 0.000 0.000
0.000 6.420 0.000
0.000 0.000 6.420
Rb In Re
3 1 1
direct
0.000 0.000 0.500
0.000 0.500 0.000
0.500 0.000 0.000
0.500 0.500 0.500
0.000 0.000 0.000
```

## Properties
The calculation puts the volume at 265 Å³/cell. The energy relative to the elements is 1.60 eV per atom. The symmetry is Pm-3m. As for the total energy: -2.27 eV per atom.



No. 12
Here is an optimized crystal structure of LiIO4 from Alexandria via LeMat-Bulk. Energies are from GGA-PBEsol.

POSCAR file:
```
LiIO4
1.0
5.071 0.000 0.000
0.000 8.441 0.000
-3.737 0.000 8.376
Li I O
4 4 16
direct
0.212 0.044 0.161
0.212 0.456 0.661
0.788 0.544 0.339
0.788 0.956 0.839
0.366 0.718 0.954
0.366 0.782 0.454
0.634 0.218 0.546
0.634 0.282 0.046
0.104 0.633 0.776
0.104 0.867 0.276
0.215 0.596 0.478
0.215 0.904 0.978
0.302 0.240 0.061
0.302 0.260 0.561
0.432 0.594 0.124
0.432 0.906 0.624
0.568 0.094 0.376
0.568 0.406 0.876
0.698 0.740 0.439
0.698 0.760 0.939
0.785 0.096 0.022
0.785 0.404 0.522
0.896 0.133 0.724
0.896 0.367 0.224
```

## Properties
The calculation puts the volume at 359 Å³/cell. The symmetry is P2_1/c. The formation energy without anion corrections is -3.77 eV/f.u. As for the total energy: -4.75 eV per atom.



No. 13
Here is an optimized crystal structure of Ta3W from Alexandria via LeMat-Bulk. Energies are from GGA-PBEsol.

POSCAR file:
```
Ta3W
1.0
3.225 0.000 0.000
0.000 4.600 0.000
0.000 0.000 9.200
Ta W
6 2
direct
0.000 0.000 0.000
0.000 0.500 0.242
0.000 0.500 0.758
0.500 0.000 0.258
0.500 0.000 0.742
0.500 0.500 0.500
0.000 0.000 0.500
0.500 0.500 0.000
```

## Properties
The calculation puts the volume at 136 Å³/cell. The energy relative to the elements is -0.06 eV per atom. The symmetry is Immm. As for the total energy: -12.92 eV per atom.